KGa2Se2 | GGA-PBE | optimized geometry

```
data_KGa2Se2
_cell_length_a 5.0288
_cell_length_b 5.0288
_cell_length_c 12.1103
_cell_angle_alpha 90.00
_cell_angle_beta 90.00
_cell_angle_gamma 90.00
_symmetry_space_group_name_H-M 'I 4/m m m'
_symmetry_Int_Tables_number 139
_symmetry_space_group_name_Hall '-I 4 2'
loop_
_atom_site_label
_atom_site_fract_x
_atom_site_fract_y
_atom_site_fract_z
K1 0.0000 0.0000 0.0000
Ga1 0.0000 0.5000 0.2500
Se1 0.0000 0.0000 0.3354
```

Results
formation energy without anion corrections	-483	meV per atom
energy above the most stable polymorph in this dataset	0.094	eV/atom

ErTh3Pb4 | GGA-PBE | optimized geometry

```
data_ErTh3Pb4
_cell_length_a 6.4368
_cell_length_b 12.8520
_cell_length_c 6.4366
_cell_angle_alpha 90.00
_cell_angle_beta 90.00
_cell_angle_gamma 90.00
_symmetry_space_group_name_H-M 'P m m n'
_symmetry_Int_Tables_number 59
loop_
_symmetry_equiv_pos_as_xyz
'x,y,z'
'-x,-y,-z'
'-x+1/2,-y+1/2,z'
'x+1/2,y+1/2,-z'
'x+1/2,-y,-z'
'-x+1/2,y,z'
'-x,y+1/2,-z'
'x,-y+1/2,z'
loop_
_atom_site_label
_atom_site_fract_x
_atom_site_fract_y
_atom_site_fract_z
Er1 0.2500 0.2500 0.2493
Th1 0.2500 0.0000 0.7501
Th2 0.2500 0.7500 0.2504
Pb1 0.2500 0.0032 0.2501
Pb2 0.2500 0.2500 0.7492
Pb3 0.2500 0.7500 0.7504
```

Results
formation enthalpy at 0 K	-0.266	eV/atom

YGa2IrO8 | GGA-PBE | optimized geometry

```
data_YGa2IrO8
_cell_length_a 4.7017
_cell_length_b 6.3682
_cell_length_c 4.7397
_cell_angle_alpha 90.00
_cell_angle_beta 90.36
_cell_angle_gamma 90.00
_symmetry_space_group_name_H-M 'P 1 2/m 1'
_symmetry_Int_Tables_number 10
loop_
_symmetry_equiv_pos_as_xyz
'x,y,z'
'-x,-y,-z'
'-x,y,-z'
'x,-y,z'
loop_
_atom_site_label
_atom_site_fract_x
_atom_site_fract_y
_atom_site_fract_z
Y1 0.0000 0.0000 0.0000
Ga1 0.5000 0.2454 0.5000
Ir1 0.0000 0.5000 0.0000
O1 0.2090 0.2849 0.1990
O2 0.2874 0.5000 0.7044
O3 0.3169 0.0000 0.6729
```

Results
formation energy without anion corrections	-1557	meV per atom

K2InGa4Au3 | GGA-PBE | optimized geometry

```
data_K2InGa4Au3
_cell_length_a 4.6986
_cell_length_b 4.6986
_cell_length_c 10.8032
_cell_angle_alpha 90.00
_cell_angle_beta 90.00
_cell_angle_gamma 90.00
_symmetry_space_group_name_H-M 'P -4 m 2'
_symmetry_Int_Tables_number 115
loop_
_symmetry_equiv_pos_as_xyz
'x,y,z'
'y,-x,-z'
'-x,-y,z'
'-y,x,-z'
'-x,y,z'
'-y,-x,-z'
'x,-y,z'
'y,x,-z'
loop_
_atom_site_label
_atom_site_fract_x
_atom_site_fract_y
_atom_site_fract_z
K1 0.0000 0.5000 0.2450
In1 0.0000 0.0000 0.5000
Ga1 0.0000 0.0000 0.0000
Ga2 0.0000 0.5000 0.6398
Ga3 0.5000 0.5000 0.0000
Au1 0.0000 0.5000 0.8826
Au2 0.5000 0.5000 0.5000
```

Results
formation enthalpy at 0 K	-0.268	eV/atom

Cu3GeAu2 | GGA-PBE | optimized geometry

```
data_Cu3GeAu2
_cell_length_a 5.8468
_cell_length_b 13.1964
_cell_length_c 4.7475
_cell_angle_alpha 90.00
_cell_angle_beta 90.00
_cell_angle_gamma 90.00
_symmetry_space_group_name_H-M 'I m m a'
_symmetry_Int_Tables_number 74
_symmetry_space_group_name_Hall '-I 2b 2'
loop_
_atom_site_label
_atom_site_fract_x
_atom_site_fract_y
_atom_site_fract_z
Cu1 0.0000 0.0768 0.2426
Cu2 0.0000 0.2500 0.9646
Ge1 0.0000 0.2500 0.4596
Au1 0.2500 0.0925 0.7500
```

Results
formation enthalpy at 0 K	0.036	eV/atom
energy above the most stable polymorph in this dataset	0.031	eV/atom

ZnHPd2 | GGA-PBE | optimized geometry

```
data_ZnHPd2
_cell_length_a 2.9787
_cell_length_b 5.8747
_cell_length_c 5.9863
_cell_angle_alpha 106.91
_cell_angle_beta 90.59
_cell_angle_gamma 103.76
_symmetry_space_group_name_H-M 'P -1'
_symmetry_Int_Tables_number 2
loop_
_symmetry_equiv_pos_as_xyz
'x,y,z'
'-x,-y,-z'
loop_
_atom_site_label
_atom_site_fract_x
_atom_site_fract_y
_atom_site_fract_z
Zn1 0.1343 0.2810 0.0433
H1 0.3829 0.7926 0.4079
Pd1 0.2070 0.4009 0.6538
Pd2 0.4754 0.9574 0.7361
```

Results
energy above the most stable polymorph in this dataset	0.000	eV/atom

NdSm2Tl2Zn2 | GGA-PBE | optimized geometry

```
data_NdSm2Tl2Zn2
_cell_length_a 4.7977
_cell_length_b 4.7977
_cell_length_c 27.9583
_cell_angle_alpha 90.00
_cell_angle_beta 90.00
_cell_angle_gamma 120.00
_symmetry_space_group_name_H-M 'R -3 m'
_symmetry_Int_Tables_number 166
_symmetry_space_group_name_Hall '-R 3 2"'
loop_
_atom_site_label
_atom_site_fract_x
_atom_site_fract_y
_atom_site_fract_z
Nd1 0.0000 0.0000 0.0000
Sm1 0.0000 0.0000 0.1293
Tl1 0.0000 0.0000 0.2658
Zn1 0.0000 0.0000 0.4132
```

Results
formation enthalpy at 0 K	-0.190	eV/atom

NaPH6 | GGA-PBE | optimized geometry

```
data_NaPH6
_cell_length_a 4.4247
_cell_length_b 4.4247
_cell_length_c 12.2384
_cell_angle_alpha 90.00
_cell_angle_beta 90.00
_cell_angle_gamma 120.00
_symmetry_space_group_name_H-M 'R -3 m'
_symmetry_Int_Tables_number 166
_symmetry_space_group_name_Hall '-R 3 2"'
loop_
_atom_site_label
_atom_site_fract_x
_atom_site_fract_y
_atom_site_fract_z
Na1 0.0000 0.0000 0.0000
P1 0.0000 0.0000 0.5000
H1 0.0151 0.5076 0.0951
```

Results
energy above the most stable polymorph in this dataset	0.012	eV/atom

AlHPb3 | GGA-PBE | optimized geometry

```
data_AlHPb3
_cell_length_a 4.9373
_cell_length_b 4.9373
_cell_length_c 4.9373
_cell_angle_alpha 90.00
_cell_angle_beta 90.00
_cell_angle_gamma 90.00
_symmetry_space_group_name_H-M 'P m -3 m'
_symmetry_Int_Tables_number 221
_symmetry_space_group_name_Hall '-P 4 2 3'
loop_
_atom_site_label
_atom_site_fract_x
_atom_site_fract_y
_atom_site_fract_z
Al1 0.0000 0.0000 0.0000
H1 0.5000 0.5000 0.5000
Pb1 0.0000 0.5000 0.5000
```

Results
energy above the most stable polymorph in this dataset	0.000	eV/atom

Np2AsAu | GGA-PBE | optimized geometry

```
data_Np2AsAu
_cell_length_a 3.6073
_cell_length_b 3.6073
_cell_length_c 6.9341
_cell_angle_alpha 90.00
_cell_angle_beta 90.00
_cell_angle_gamma 90.00
_symmetry_space_group_name_H-M 'P 4/m m m'
_symmetry_Int_Tables_number 123
_symmetry_space_group_name_Hall '-P 4 2'
loop_
_atom_site_label
_atom_site_fract_x
_atom_site_fract_y
_atom_site_fract_z
Np1 0.0000 0.0000 0.2310
As1 0.5000 0.5000 0.0000
Au1 0.5000 0.5000 0.5000
```

Results
formation enthalpy at 0 K	-0.282	eV/atom
energy above the most stable polymorph in this dataset	0.000	eV/atom

Sr2YRePd | GGA-PBE | optimized geometry

```
data_Sr2YRePd
_cell_length_a 5.7496
_cell_length_b 5.7496
_cell_length_c 4.8972
_cell_angle_alpha 90.00
_cell_angle_beta 90.00
_cell_angle_gamma 90.00
_symmetry_space_group_name_H-M 'P 4/m m m'
_symmetry_Int_Tables_number 123
_symmetry_space_group_name_Hall '-P 4 2'
loop_
_atom_site_label
_atom_site_fract_x
_atom_site_fract_y
_atom_site_fract_z
Sr1 0.0000 0.5000 0.0000
Y1 0.0000 0.0000 0.5000
Re1 0.5000 0.5000 0.0000
Pd1 0.5000 0.5000 0.5000
```

Results
formation enthalpy at 0 K	0.880	eV/atom

Na2CrPS4 | GGA-PBE | optimized geometry

```
data_Na2CrPS4
_cell_length_a 5.3791
_cell_length_b 5.7197
_cell_length_c 6.3459
_cell_angle_alpha 108.19
_cell_angle_beta 114.85
_cell_angle_gamma 91.80
_symmetry_space_group_name_H-M 'P 1'
_symmetry_Int_Tables_number 1
loop_
_symmetry_equiv_pos_as_xyz
'x,y,z'
loop_
_atom_site_label
_atom_site_fract_x
_atom_site_fract_y
_atom_site_fract_z
Na1 0.0000 0.0000 0.0000
Na2 0.2587 0.7638 0.5064
Cr1 0.5087 0.5223 0.9950
P1 0.7974 0.3074 0.5472
S1 0.2065 0.2772 0.5744
S2 0.5064 0.9201 0.0212
S3 0.7168 0.6285 0.4346
S4 0.9290 0.4724 0.9497
```

Results
formation energy without anion corrections	-618	meV per atom

CaZnAs2Br | GGA-PBE | optimized geometry

```
data_CaZnAs2Br
_cell_length_a 4.7467
_cell_length_b 4.7467
_cell_length_c 5.8726
_cell_angle_alpha 90.00
_cell_angle_beta 90.00
_cell_angle_gamma 90.00
_symmetry_space_group_name_H-M 'P 4/m m m'
_symmetry_Int_Tables_number 123
_symmetry_space_group_name_Hall '-P 4 2'
loop_
_atom_site_label
_atom_site_fract_x
_atom_site_fract_y
_atom_site_fract_z
Ca1 0.0000 0.0000 0.0000
Zn1 0.5000 0.5000 0.5000
As1 0.0000 0.5000 0.5000
Br1 0.5000 0.5000 0.0000
```

Results
formation energy without anion corrections	-245	meV per atom
energy above the most stable polymorph in this dataset	0.000	eV/atom

ZrReTe2 | GGA-PBE | optimized geometry

```
data_ZrReTe2
_cell_length_a 8.3893
_cell_length_b 3.4063
_cell_length_c 6.1412
_cell_angle_alpha 90.00
_cell_angle_beta 102.14
_cell_angle_gamma 90.00
_symmetry_space_group_name_H-M 'C 1 2/m 1'
_symmetry_Int_Tables_number 12
loop_
_symmetry_equiv_pos_as_xyz
'x,y,z'
'-x,-y,-z'
'-x,y,-z'
'x,-y,z'
'x+1/2,y+1/2,z'
'-x+1/2,-y+1/2,-z'
'-x+1/2,y+1/2,-z'
'x+1/2,-y+1/2,z'
loop_
_atom_site_label
_atom_site_fract_x
_atom_site_fract_y
_atom_site_fract_z
Zr1 0.0000 0.0000 0.0000
Re1 0.0000 0.5000 0.5000
Te1 0.2453 0.0000 0.7252
```

Results
formation energy without anion corrections	222	meV per atom
energy above the most stable polymorph in this dataset	0.439	eV/atom

Nd2Er8Tm | GGA-PBE | optimized geometry

```
data_Nd2Er8Tm
_cell_length_a 8.9939
_cell_length_b 15.9208
_cell_length_c 5.8492
_cell_angle_alpha 90.00
_cell_angle_beta 122.84
_cell_angle_gamma 90.00
_symmetry_space_group_name_H-M 'C 1 2/m 1'
_symmetry_Int_Tables_number 12
loop_
_symmetry_equiv_pos_as_xyz
'x,y,z'
'-x,-y,-z'
'-x,y,-z'
'x,-y,z'
'x+1/2,y+1/2,z'
'-x+1/2,-y+1/2,-z'
'-x+1/2,y+1/2,-z'
'x+1/2,-y+1/2,z'
loop_
_atom_site_label
_atom_site_fract_x
_atom_site_fract_y
_atom_site_fract_z
Nd1 0.0000 0.1935 0.0000
Er1 0.0000 0.2927 0.5000
Er2 0.0722 0.0000 0.2973
Er3 0.2132 0.3847 0.1718
Tm1 0.0000 0.5000 0.5000
```

Results
formation enthalpy at 0 K	0.162	eV/atom

Zr3TiTl3Se8 | GGA-PBE | optimized geometry

```
data_Zr3TiTl3Se8
_cell_length_a 7.5301
_cell_length_b 7.5301
_cell_length_c 24.8018
_cell_angle_alpha 90.00
_cell_angle_beta 90.00
_cell_angle_gamma 120.00
_symmetry_space_group_name_H-M 'R -3 m'
_symmetry_Int_Tables_number 166
_symmetry_space_group_name_Hall '-R 3 2"'
loop_
_atom_site_label
_atom_site_fract_x
_atom_site_fract_y
_atom_site_fract_z
Zr1 0.0000 0.5000 0.0000
Ti1 0.0000 0.0000 0.0000
Tl1 0.0000 0.5000 0.5000
Se1 0.0000 0.0000 0.2670
Se2 0.0096 0.5048 0.7311
```

Results
formation energy without anion corrections	-1041	meV per atom

TlBi6Ir | GGA-PBE | optimized geometry

```
data_TlBi6Ir
_cell_length_a 14.6425
_cell_length_b 9.9155
_cell_length_c 10.4946
_cell_angle_alpha 90.00
_cell_angle_beta 133.60
_cell_angle_gamma 90.00
_symmetry_space_group_name_H-M 'C 1 2/m 1'
_symmetry_Int_Tables_number 12
loop_
_symmetry_equiv_pos_as_xyz
'x,y,z'
'-x,-y,-z'
'-x,y,-z'
'x,-y,z'
'x+1/2,y+1/2,z'
'-x+1/2,-y+1/2,-z'
'-x+1/2,y+1/2,-z'
'x+1/2,-y+1/2,z'
loop_
_atom_site_label
_atom_site_fract_x
_atom_site_fract_y
_atom_site_fract_z
Tl1 0.2500 0.2500 0.0000
Bi1 0.0204 0.1605 0.3694
Bi2 0.1122 0.5000 0.7486
Bi3 0.1503 0.3424 0.1761
Bi4 0.1881 0.5000 0.5301
Ir1 0.2500 0.2500 0.5000
```

Results
formation enthalpy at 0 K	0.104	eV/atom

CaTiCo2 | GGA-PBE | optimized geometry

```
data_CaTiCo2
_cell_length_a 6.8148
_cell_length_b 6.8148
_cell_length_c 5.8236
_cell_angle_alpha 90.00
_cell_angle_beta 90.00
_cell_angle_gamma 90.00
_symmetry_space_group_name_H-M 'I -4 2 d'
_symmetry_Int_Tables_number 122
_symmetry_space_group_name_Hall 'I -4 2bw'
loop_
_atom_site_label
_atom_site_fract_x
_atom_site_fract_y
_atom_site_fract_z
Ca1 0.0000 0.0000 0.0000
Ti1 0.0000 0.0000 0.5000
Co1 0.2034 0.2500 0.6250
```

Results
formation enthalpy at 0 K	0.395	eV/atom
energy above the most stable polymorph in this dataset	0.217	eV/atom

LaPr2SnO | GGA-PBE | optimized geometry

```
data_LaPr2SnO
_cell_length_a 5.0474
_cell_length_b 5.0474
_cell_length_c 5.0065
_cell_angle_alpha 90.00
_cell_angle_beta 90.00
_cell_angle_gamma 90.00
_symmetry_space_group_name_H-M 'P 4/m m m'
_symmetry_Int_Tables_number 123
_symmetry_space_group_name_Hall '-P 4 2'
loop_
_atom_site_label
_atom_site_fract_x
_atom_site_fract_y
_atom_site_fract_z
La1 0.0000 0.0000 0.0000
Pr1 0.0000 0.5000 0.5000
Sn1 0.5000 0.5000 0.0000
O1 0.0000 0.0000 0.5000
```

Results
formation energy without anion corrections	-1481	meV per atom

MgICl2 | GGA-PBE | optimized geometry

```
data_MgICl2
_cell_length_a 7.4138
_cell_length_b 7.4138
_cell_length_c 7.4138
_cell_angle_alpha 90.00
_cell_angle_beta 90.00
_cell_angle_gamma 90.00
_symmetry_space_group_name_H-M 'F m -3 m'
_symmetry_Int_Tables_number 225
_symmetry_space_group_name_Hall '-F 4 2 3'
loop_
_atom_site_label
_atom_site_fract_x
_atom_site_fract_y
_atom_site_fract_z
Mg1 0.0000 0.0000 0.0000
I1 0.0000 0.0000 0.5000
Cl1 0.2500 0.2500 0.2500
```

Results
formation energy without anion corrections	-287	meV per atom
energy above the most stable polymorph in this dataset	1.009	eV/atom